# 1
A geometry-optimized NaDyCl4 structure, computed with PBE.

Excess energy over the best structure of this formula in the dataset in eV per atom: 0.0112
Formation energy from raw total energies in eV per atom: -2.11
Crystal system: monoclinic
Theoretical density in Mg/m³: 3.12
SG: C2/c

The structure in extended XYZ format:
```
12
Lattice="4.580 -7.514 0.000 4.580 7.514 0.000 -4.210 0.000 5.065" Properties=species:S:1:pos:R:3 pbc="T T T"
Na 1.422 4.830 3.799
Na 3.527 -4.830 1.266
Dy 3.527 1.244 1.266
Dy 1.422 -1.244 3.799
Cl 1.662 3.000 1.568
Cl -0.573 0.669 3.727
Cl 1.532 -0.669 1.194
Cl 5.393 3.000 0.965
Cl -0.443 -3.000 4.100
Cl 3.418 0.669 3.871
Cl 5.523 -0.669 1.338
Cl 3.288 -3.000 3.497
```



# 2
A geometry-optimized AlReNi2 structure, computed with PBE.

ΔE_f in meV/atom: -33
Crystal system: cubic
Theoretical density in Mg/m³: 10.81
SG: F-43m

The structure in extended XYZ format:
```
4
Lattice="0.000 2.939 2.939 2.939 0.000 2.939 2.939 2.939 0.000" Properties=species:S:1:pos:R:3 pbc="T T T"
Al 0.000 0.000 0.000
Re 1.469 1.469 1.469
Ni 2.939 2.939 2.939
Ni 4.408 4.408 4.408
```



# 3
A geometry-optimized RbTe2Mo structure, computed with PBE.

Formation energy from raw total energies in eV per atom: 0.47
Crystal system: cubic
Theoretical density in Mg/m³: 7.17
SG: Fm-3m

The structure in extended XYZ format:
```
4
Lattice="0.000 3.697 3.697 3.697 0.000 3.697 3.697 3.697 0.000" Properties=species:S:1:pos:R:3 pbc="T T T"
Rb 0.000 0.000 0.000
Te 1.849 1.849 1.849
Te 5.546 5.546 5.546
Mo 3.697 3.697 3.697
```



# 4
A geometry-optimized BaPdSeBr2 structure, computed with PBE.

Excess energy over the best structure of this formula in the dataset in eV per atom: 0.9275
Formation energy from raw total energies in eV per atom: -0.16
Crystal system: tetragonal
Theoretical density in Mg/m³: 3.15
SG: P4/mmm

The structure in extended XYZ format:
```
5
Lattice="6.233 0.000 0.000 0.000 6.233 0.000 0.000 0.000 6.543" Properties=species:S:1:pos:R:3 pbc="T T T"
Ba 0.000 0.000 0.000
Pd 3.117 3.117 3.272
Se 0.000 0.000 3.272
Br 0.000 3.117 0.000
Br 3.117 0.000 0.000
```



# 5
A geometry-optimized Rb3Np3HgS8 structure, computed with PBE.

Formation energy from raw total energies in eV per atom: -1.15
Crystal system: trigonal
Theoretical density in Mg/m³: 5.38
SG: R-3m

The structure in extended XYZ format:
```
15
Lattice="4.052 2.339 7.734 -4.052 2.339 7.734 0.000 -4.678 7.734" Properties=species:S:1:pos:R:3 pbc="T T T"
Rb -2.026 -1.170 7.734
Rb -2.026 1.170 15.468
Rb 0.000 2.339 7.734
Np -4.052 0.000 11.601
Np -2.026 1.170 3.867
Np 2.026 1.170 3.867
Hg 0.000 0.000 11.601
S -2.120 -1.224 13.061
S 0.000 0.000 5.331
S 0.000 -2.448 10.140
S -2.120 1.224 10.140
S 2.120 -1.224 13.061
S 0.000 2.448 13.061
S 0.000 0.000 17.871
S 2.120 1.224 10.140
```



# 6
A geometry-optimized LiPb5 structure, computed with PBE.

ΔE_f in meV/atom: -59
Excess energy over the best structure of this formula in the dataset in eV per atom: 0.0000
Crystal system: monoclinic
Theoretical density in Mg/m³: 9.80
SG: C2/m

The structure in extended XYZ format:
```
6
Lattice="7.456 -1.764 0.000 7.456 1.764 0.000 -1.571 0.000 6.720" Properties=species:S:1:pos:R:3 pbc="T T T"
Li 0.000 0.000 0.000
Pb -0.786 0.000 3.360
Pb 3.934 0.000 4.490
Pb 4.832 0.000 1.066
Pb 8.508 0.000 5.654
Pb 9.405 0.000 2.230
```



# 7
A geometry-optimized Li2Tl structure, computed with PBE.

ΔE_f in meV/atom: -117
Crystal system: hexagonal
Theoretical density in Mg/m³: 6.12
SG: P6_3/mmc

The structure in extended XYZ format:
```
12
Lattice="5.780 0.000 0.000 -2.890 5.006 0.000 0.000 0.000 8.187" Properties=species:S:1:pos:R:3 pbc="T T T"
Li 0.000 0.000 0.000
Li 0.000 0.000 4.094
Li 0.000 1.769 2.047
Li -1.358 4.121 2.047
Li 1.532 0.885 6.141
Li 1.358 4.121 2.047
Li 4.248 0.885 6.141
Li 2.890 3.236 6.141
Tl 0.000 3.337 4.585
Tl 0.000 3.337 7.696
Tl 2.890 1.669 0.491
Tl 2.890 1.669 3.603
```



The highest theoretical density belongs to which entry? AlReNi2



Among the records above, which one has the lowest theoretical density? NaDyCl4



Number 1 is which compound? NaDyCl4